[1]
{"formula": "PuTh2Be", "functional": "PBE", "state": "optimized geometry", "cell": [[3.4185, 0.0000, 0.0000], [-1.7092, 2.9605, 0.0000], [0.0000, 0.0000, 32.2442]], "species": ["Pu", "Pu", "Pu", "Th", "Th", "Th", "Th", "Th", "Th", "Be", "Be", "Be"], "frac_coords": [[0.0000, 0.0000, 0.0000], [0.3333, 0.6667, 0.6667], [0.6667, 0.3333, 0.3333], [0.0000, 0.0000, 0.1015], [0.0000, 0.0000, 0.8985], [0.3333, 0.6667, 0.5651], [0.3333, 0.6667, 0.7682], [0.6667, 0.3333, 0.2318], [0.6667, 0.3333, 0.4349], [0.0000, 0.0000, 0.5000], [0.3333, 0.6667, 0.1667], [0.6667, 0.3333, 0.8333]], "e_tot_ry_per_atom": -0.568, "vol_a3_per_cell": 326, "mass_density_kg_m3": 10947, "e_form_ev_per_fu": 2.00}


[2]
{"formula": "Ba3HF", "functional": "PBE", "state": "optimized geometry", "cell": [[5.6226, 0.0000, 0.0000], [0.0000, 5.6226, 0.0000], [0.0000, 0.0000, 5.6226]], "species": ["Ba", "Ba", "Ba", "H", "F"], "frac_coords": [[0.0000, 0.0000, 0.5000], [0.0000, 0.5000, 0.0000], [0.5000, 0.0000, 0.0000], [0.5000, 0.5000, 0.5000], [0.0000, 0.0000, 0.0000]], "e_tot_ry_per_atom": -0.207, "vol_a3_per_cell": 178, "mass_density_kg_m3": 4036}